Below is crystalline MnTe2Ir at its relaxed geometry, with properties calculated at the PBE level.

abc: 7.3955 7.3955 7.3955
angles: 150.08 149.09 43.56
Each line ends with the local moment (μB).
Positions (direct):
Ir: 0.7500 0.2500 0.5000  0.05
Te: 0.6138 0.6138 0.0000  -0.06
Te: 0.8862 0.8862 0.0000  -0.06
Mn: 0.2500 0.7500 0.5000  3.40

## Properties
formation energy (no corrections)	-2.27	kcal/mol of atoms
SG	Immm, No. 71

Below is crystalline MnTeIr2 at its relaxed geometry, with properties calculated at the PBE level.

abc: 4.6632 4.6632 3.1173
angles: 90.00 90.00 102.56
Each line ends with the local moment (μB).
Positions (direct):
Ir: 0.5000 0.5000 0.0000  0.16
Ir: 0.0000 0.0000 0.0000  0.16
Mn: 0.5000 0.0000 0.5000  3.73
Te: 0.0000 0.5000 0.5000  -0.01

## Properties
formation energy (no corrections)	6.54	kcal/mol of atoms
SG	Cmmm, No. 65

> Which formula does entry 1 have?

MnTe2Ir